# GGA-PBE MgRuS2N, relaxed
# Formation energy (no corrections): 6.11 eV/f.u.
# Distance to the lowest polymorph of the same formula: 1.179 eV/atom
# Total magnetic moment: 2.358 μB/f.u.
# Electronic total energy: -0.157 Ha/atom
# ρ: 4.0 g/cm³
data_MgRuS2N
_chemical_formula_sum 'Mg1 Ru1 S2 N1'
_cell_length_a 4.718
_cell_length_b 4.718
_cell_length_c 3.774
_cell_angle_alpha 90.00
_cell_angle_beta 90.00
_cell_angle_gamma 90.00
_space_group_name_H-M_alt 'P 4/m m m'
_space_group_IT_number 123
_space_group_name_Hall '-P 4 2'
loop_
_atom_site_label
_atom_site_type_symbol
_atom_site_fract_x
_atom_site_fract_y
_atom_site_fract_z
Mg1 Mg 0.000 0.000 0.000
Ru1 Ru 0.500 0.500 0.500
S1 S 0.000 0.500 0.000
N1 N 0.000 0.000 0.500

# GGA-PBE MgRuSe2N, relaxed
# Formation energy (no corrections): 5.66 eV/f.u.
# Distance to the lowest polymorph of the same formula: 1.090 eV/atom
# Total magnetic moment: 3.633 μB/f.u.
# Electronic total energy: -0.151 Ha/atom
# ρ: 5.2 g/cm³
data_MgRuSe2N
_chemical_formula_sum 'Mg1 Ru1 Se2 N1'
_cell_length_a 5.018
_cell_length_b 5.018
_cell_length_c 3.787
_cell_angle_alpha 90.00
_cell_angle_beta 90.00
_cell_angle_gamma 90.00
_space_group_name_H-M_alt 'P 4/m m m'
_space_group_IT_number 123
_space_group_name_Hall '-P 4 2'
loop_
_atom_site_label
_atom_site_type_symbol
_atom_site_fract_x
_atom_site_fract_y
_atom_site_fract_z
Mg1 Mg 0.000 0.000 0.000
Ru1 Ru 0.500 0.500 0.500
Se1 Se 0.000 0.500 0.000
N1 N 0.000 0.000 0.500

# GGA-PBE MgRuSe2N, relaxed
# Formation energy (no corrections): 0.21 eV/f.u.
# Distance to the lowest polymorph of the same formula: 0.000 eV/atom
# Total magnetic moment: 0.001 μB/f.u.
# Electronic total energy: -0.191 Ha/atom
# ρ: 5.1 g/cm³
data_MgRuSe2N
_chemical_formula_sum 'Mg1 Ru1 Se2 N1'
_cell_length_a 5.149
_cell_length_b 5.149
_cell_length_c 3.643
_cell_angle_alpha 90.00
_cell_angle_beta 90.00
_cell_angle_gamma 90.00
_space_group_name_H-M_alt 'P 4/m m m'
_space_group_IT_number 123
_space_group_name_Hall '-P 4 2'
loop_
_atom_site_label
_atom_site_type_symbol
_atom_site_fract_x
_atom_site_fract_y
_atom_site_fract_z
Mg1 Mg 0.000 0.000 0.000
Ru1 Ru 0.500 0.500 0.500
Se1 Se 0.000 0.500 0.500
N1 N 0.500 0.500 0.000

# GGA-PBE Sr2MgRuN, relaxed
# Formation energy (no corrections): -1.27 eV/f.u.
# Total magnetic moment: 0.000 μB/f.u.
# Electronic total energy: -0.175 Ha/atom
# ρ: 4.5 g/cm³
data_Sr2MgRuN
_chemical_formula_sum 'Sr2 Mg1 Ru1 N1'
_cell_length_a 5.510
_cell_length_b 5.510
_cell_length_c 3.860
_cell_angle_alpha 90.00
_cell_angle_beta 90.00
_cell_angle_gamma 90.00
_space_group_name_H-M_alt 'P 4/m m m'
_space_group_IT_number 123
_space_group_name_Hall '-P 4 2'
loop_
_atom_site_label
_atom_site_type_symbol
_atom_site_fract_x
_atom_site_fract_y
_atom_site_fract_z
Sr1 Sr 0.000 0.500 0.000
Mg1 Mg 0.000 0.000 0.500
Ru1 Ru 0.500 0.500 0.500
N1 N 0.500 0.500 0.000

# GGA-PBE Mg2TaRuN, relaxed
# Formation energy (no corrections): 1.56 eV/f.u.
# Total magnetic moment: 0.000 μB/f.u.
# Electronic total energy: -0.228 Ha/atom
# ρ: 7.6 g/cm³
data_Mg2TaRuN
_chemical_formula_sum 'Mg2 Ta1 Ru1 N1'
_cell_length_a 4.384
_cell_length_b 4.384
_cell_length_c 3.894
_cell_angle_alpha 90.00
_cell_angle_beta 90.00
_cell_angle_gamma 90.00
_space_group_name_H-M_alt 'P 4/m m m'
_space_group_IT_number 123
_space_group_name_Hall '-P 4 2'
loop_
_atom_site_label
_atom_site_type_symbol
_atom_site_fract_x
_atom_site_fract_y
_atom_site_fract_z
Mg1 Mg 0.000 0.500 0.000
Ta1 Ta 0.000 0.000 0.500
Ru1 Ru 0.500 0.500 0.500
N1 N 0.500 0.500 0.000

# GGA-PBE MgTe2RuN, relaxed
# Formation energy (no corrections): 5.72 eV/f.u.
# Distance to the lowest polymorph of the same formula: 1.056 eV/atom
# Total magnetic moment: 3.449 μB/f.u.
# Electronic total energy: -0.145 Ha/atom
# ρ: 5.9 g/cm³
data_MgTe2RuN
_chemical_formula_sum 'Mg1 Te2 Ru1 N1'
_cell_length_a 5.425
_cell_length_b 5.425
_cell_length_c 3.761
_cell_angle_alpha 90.00
_cell_angle_beta 90.00
_cell_angle_gamma 90.00
_space_group_name_H-M_alt 'P 4/m m m'
_space_group_IT_number 123
_space_group_name_Hall '-P 4 2'
loop_
_atom_site_label
_atom_site_type_symbol
_atom_site_fract_x
_atom_site_fract_y
_atom_site_fract_z
Mg1 Mg 0.000 0.000 0.000
Te1 Te 0.000 0.500 0.000
Ru1 Ru 0.500 0.500 0.500
N1 N 0.000 0.000 0.500

# GGA-PBE MgTe2RuN, relaxed
# Formation energy (no corrections): 0.44 eV/f.u.
# Distance to the lowest polymorph of the same formula: 0.000 eV/atom
# Total magnetic moment: 0.000 μB/f.u.
# Electronic total energy: -0.184 Ha/atom
# ρ: 5.9 g/cm³
data_MgTe2RuN
_chemical_formula_sum 'Mg1 Te2 Ru1 N1'
_cell_length_a 5.539
_cell_length_b 5.539
_cell_length_c 3.651
_cell_angle_alpha 90.00
_cell_angle_beta 90.00
_cell_angle_gamma 90.00
_space_group_name_H-M_alt 'P 4/m m m'
_space_group_IT_number 123
_space_group_name_Hall '-P 4 2'
loop_
_atom_site_label
_atom_site_type_symbol
_atom_site_fract_x
_atom_site_fract_y
_atom_site_fract_z
Mg1 Mg 0.000 0.000 0.000
Te1 Te 0.000 0.500 0.500
Ru1 Ru 0.500 0.500 0.500
N1 N 0.500 0.500 0.000

# GGA-PBE Y2MgRuN, relaxed
# Formation energy (no corrections): -2.77 eV/f.u.
# Total magnetic moment: 0.000 μB/f.u.
# Electronic total energy: -0.256 Ha/atom
# ρ: 5.6 g/cm³
data_Y2MgRuN
_chemical_formula_sum 'Y2 Mg1 Ru1 N1'
_cell_length_a 4.773
_cell_length_b 4.773
_cell_length_c 4.095
_cell_angle_alpha 90.00
_cell_angle_beta 90.00
_cell_angle_gamma 90.00
_space_group_name_H-M_alt 'P 4/m m m'
_space_group_IT_number 123
_space_group_name_Hall '-P 4 2'
loop_
_atom_site_label
_atom_site_type_symbol
_atom_site_fract_x
_atom_site_fract_y
_atom_site_fract_z
Y1 Y 0.000 0.500 0.000
Mg1 Mg 0.000 0.000 0.500
Ru1 Ru 0.500 0.500 0.500
N1 N 0.000 0.000 0.000